Here is crystalline TbSm3Dy7 at its relaxed geometry from Alexandria. Energies are from PBE.

Lattice parameters (Å, degrees): 6.952 5.536 9.984 90.00 109.96 90.00
Space group P2/m (No. 10)
One atom of each set of equivalent atoms:
Tb1 0.000 0.000 0.000
Sm1 0.219 0.500 0.502
Sm2 0.500 0.000 0.000
Dy1 0.081 0.000 0.671
Dy2 0.179 0.500 0.862
Dy3 0.354 0.500 0.211
Dy4 0.500 0.000 0.500

Summary:
Uncorrected energy (eV/atom): -4.49
Energy of formation (eV per atom): 0.144
Size of the total moment (Bohr magnetons per cell): 0.00



Here is crystalline TbSm10Dy6 at its relaxed geometry from Alexandria. Energies are from PBE.

Lattice parameters (Å, degrees): 9.7679 9.7679 6.8713 90.00 90.00 120.00
Space group P-31m (No. 162)
One atom of each set of equivalent atoms:
Tb1 0.0000 0.0000 0.0000
Sm1 0.0000 0.2740 0.3144
Sm2 0.3333 0.6667 0.0000
Sm3 0.3333 0.6667 0.5000
Dy1 0.0000 0.3740 0.8042

Summary:
Uncorrected energy (eV/atom): -4.55
Energy of formation (eV per atom): 0.126
Size of the total moment (Bohr magnetons per cell): 0.00



Here is crystalline Tb12Sm6Dy at its relaxed geometry from Alexandria. Energies are from PBE.

Lattice parameters (Å, degrees): 13.2641 13.2641 12.6465 90.00 90.00 120.00
Space group R-3m (No. 166, hexagonal axes)
One atom of each set of equivalent atoms:
Tb1 0.0000 0.2583 0.0000
Tb2 0.0909 0.1817 0.7649
Sm1 0.0410 0.5205 0.1168
Dy1 0.0000 0.0000 0.5000

Summary:
Uncorrected energy (eV/atom): -4.45
Energy of formation (eV per atom): 0.210
Size of the total moment (Bohr magnetons per cell): 0.00



Here is crystalline Tb2Sm12Dy at its relaxed geometry from Alexandria. Energies are from PBE.

Lattice parameters (Å, degrees): 7.150 11.509 24.823 90.00 90.00 90.00
Space group Cmme (No. 67)
One atom of each set of equivalent atoms:
Tb1 0.000 0.250 0.229
Tb2 0.000 0.250 0.766
Sm1 0.000 0.001 0.576
Sm2 0.000 0.023 0.060
Sm3 0.232 0.250 0.915
Sm4 0.249 0.250 0.371
Sm5 0.250 0.000 0.175
Sm6 0.250 0.000 0.301
Dy1 0.000 0.250 0.499

Summary:
Uncorrected energy (eV/atom): -4.54
Energy of formation (eV per atom): 0.161
Size of the total moment (Bohr magnetons per cell): 0.00



Here is crystalline Tb3Sm5Dy3 at its relaxed geometry from Alexandria. Energies are from PBE.

Lattice parameters (Å, degrees): 9.7295 9.7295 5.4642 90.00 90.00 120.00
Space group P-62m (No. 189)
One atom of each set of equivalent atoms:
Tb1 0.0000 0.4428 0.0000
Sm1 0.0000 0.2636 0.5000
Sm2 0.3333 0.6667 0.5000
Dy1 0.0000 0.6319 0.5000

Summary:
Uncorrected energy (eV/atom): -3.87
Energy of formation (eV per atom): 0.794
Size of the total moment (Bohr magnetons per cell): 0.14



Here is crystalline Tb3Sm3Dy8 at its relaxed geometry from Alexandria. Energies are from PBE.

Lattice parameters (Å, degrees): 5.640 10.795 14.982 90.00 90.00 90.00
Space group Immm (No. 71)
One atom of each set of equivalent atoms:
Tb1 0.000 0.000 0.000
Tb2 0.000 0.297 0.000
Sm1 0.000 0.000 0.500
Sm2 0.000 0.500 0.182
Dy1 0.000 0.160 0.221
Dy2 0.000 0.341 0.397

Summary:
Uncorrected energy (eV/atom): -4.52
Energy of formation (eV per atom): 0.109
Size of the total moment (Bohr magnetons per cell): 0.00



Here is crystalline Tb6Sm2Dy at its relaxed geometry from Alexandria. Energies are from PBE.

Lattice parameters (Å, degrees): 6.189 10.717 8.740 90.00 90.02 90.00
Space group C2/m (No. 12)
One atom of each set of equivalent atoms:
Tb1 0.000 0.167 0.000
Tb2 0.167 0.333 0.667
Sm1 0.167 0.000 0.668
Dy1 0.000 0.500 0.000

Summary:
Uncorrected energy (eV/atom): -4.63
Energy of formation (eV per atom): 0.015
Size of the total moment (Bohr magnetons per cell): 0.00



Here is crystalline Tb7Sm3Dy2 at its relaxed geometry from Alexandria. Energies are from PBE.

Lattice parameters (Å, degrees): 6.357 3.533 17.528 90.00 96.17 90.00
Space group P2/m (No. 10)
One atom of each set of equivalent atoms:
Tb1 0.000 0.000 0.000
Tb2 0.224 0.500 0.167
Tb3 0.254 0.500 0.499
Tb4 0.272 0.000 0.834
Sm1 0.451 0.000 0.341
Sm2 0.500 0.500 0.000
Dy1 0.057 0.500 0.673

Summary:
Uncorrected energy (eV/atom): -4.57
Energy of formation (eV per atom): 0.079
Size of the total moment (Bohr magnetons per cell): 0.00



Here is crystalline Tb4SmDy10 at its relaxed geometry from Alexandria. Energies are from PBE.

Lattice parameters (Å, degrees): 12.151 12.151 7.688 90.00 90.00 90.00
Space group I4/m (No. 87)
One atom of each set of equivalent atoms:
Tb1 0.100 0.699 0.000
Sm1 0.000 0.000 0.500
Dy1 0.000 0.500 0.250
Dy2 0.101 0.200 0.249

Summary:
Uncorrected energy (eV/atom): -3.88
Energy of formation (eV per atom): 0.737
Size of the total moment (Bohr magnetons per cell): 0.00



Here is crystalline TbSm2Dy9 at its relaxed geometry from Alexandria. Energies are from PBE.

Lattice parameters (Å, degrees): 5.031 5.031 15.083 90.00 90.00 90.00
Space group P4/mmm (No. 123)
One atom of each set of equivalent atoms:
Tb1 0.000 0.000 0.000
Sm1 0.000 0.000 0.333
Dy1 0.000 0.500 0.166
Dy2 0.000 0.500 0.500
Dy3 0.500 0.500 0.000
Dy4 0.500 0.500 0.333

Summary:
Uncorrected energy (eV/atom): -4.60
Energy of formation (eV per atom): 0.020
Size of the total moment (Bohr magnetons per cell): 0.00



Here is crystalline Tb8Sm2Dy at its relaxed geometry from Alexandria. Energies are from PBE.

Lattice parameters (Å, degrees): 18.196 5.046 7.992 90.00 105.32 90.00
Space group C2/m (No. 12)
One atom of each set of equivalent atoms:
Tb1 0.045 0.000 0.228
Tb2 0.090 0.500 0.954
Tb3 0.136 0.000 0.680
Tb4 0.181 0.500 0.409
Sm1 0.227 0.000 0.137
Dy1 0.000 0.500 0.500

Summary:
Uncorrected energy (eV/atom): -4.63
Energy of formation (eV per atom): 0.016
Size of the total moment (Bohr magnetons per cell): 0.00



Here is crystalline Tb2SmDy3Te6 at its relaxed geometry from Alexandria. Energies are from PBE.

Lattice parameters (Å, degrees): 19.074 4.353 8.794 90.00 103.43 90.00
Space group C2/m (No. 12)
One atom of each set of equivalent atoms:
Tb1 0.165 0.000 0.330
Sm1 0.000 0.500 0.000
Dy1 0.000 0.500 0.500
Dy2 0.164 0.000 0.833
Te1 0.000 0.000 0.255
Te2 0.167 0.500 0.584
Te3 0.170 0.500 0.083

Summary:
Formation energy from raw total energies (meV/atom): -1307
Uncorrected energy (eV/atom): -5.19
Size of the total moment (Bohr magnetons per cell): 0.00



- Which of these has the highest uncorrected energy?
  Tb3Sm5Dy3